(1)
DFT (GGA-PBE) results for a relaxed structure of MgNpPaO6.

CIF file:
```
data_MgNpPaO6
_chemical_formula_sum 'Mg2 Np2 Pa2 O12'
_cell_length_a 5.4197
_cell_length_b 5.4197
_cell_length_c 9.7089
_cell_angle_alpha 90.00
_cell_angle_beta 90.00
_cell_angle_gamma 120.00
_space_group_name_H-M_alt 'P -3 1 c'
_space_group_IT_number 163
_space_group_name_Hall '-P 3 2c'
loop_
_atom_site_label
_atom_site_type_symbol
_atom_site_fract_x
_atom_site_fract_y
_atom_site_fract_z
Mg1 Mg 0.3333 0.6667 0.2500
Np1 Np 0.3333 0.6667 0.7500
Pa1 Pa 0.0000 0.0000 0.0000
O1 O 0.0015 0.3341 0.1316
```

Results
The calculation puts the total DFT energy (no corrections) at -9.06 eV per atom. For the uncorrected formation energy, the calculation gives -3.087 eV/atom.


(2)
DFT (GGA-PBE) results for a relaxed structure of MgNpPb2O8.

CIF file:
```
data_MgNpPb2O8
_chemical_formula_sum 'Mg2 Np2 Pb4 O16'
_cell_length_a 7.176
_cell_length_b 7.185
_cell_length_c 6.563
_cell_angle_alpha 90.00
_cell_angle_beta 90.00
_cell_angle_gamma 90.00
_space_group_name_H-M_alt 'C m m m'
_space_group_IT_number 65
_space_group_name_Hall '-C 2 2'
loop_
_atom_site_label
_atom_site_type_symbol
_atom_site_fract_x
_atom_site_fract_y
_atom_site_fract_z
Mg1 Mg 0.000 0.000 0.000
Np1 Np 0.000 0.000 0.500
Pb1 Pb 0.000 0.500 0.242
O1 O 0.000 0.182 0.265
O2 O 0.195 0.500 0.500
O3 O 0.203 0.500 0.000
```

Results
The calculation puts the total DFT energy (no corrections) at -6.91 eV per atom. For the uncorrected formation energy, the calculation gives -1.776 eV/atom.


(3)
DFT (GGA-PBE) results for a relaxed structure of MgNpPbO6.

CIF file:
```
data_MgNpPbO6
_chemical_formula_sum 'Mg2 Np2 Pb2 O12'
_cell_length_a 5.4686
_cell_length_b 5.4686
_cell_length_c 9.8487
_cell_angle_alpha 90.00
_cell_angle_beta 90.00
_cell_angle_gamma 120.00
_space_group_name_H-M_alt 'P -3 1 c'
_space_group_IT_number 163
_space_group_name_Hall '-P 3 2c'
loop_
_atom_site_label
_atom_site_type_symbol
_atom_site_fract_x
_atom_site_fract_y
_atom_site_fract_z
Mg1 Mg 0.3333 0.6667 0.2500
Np1 Np 0.3333 0.6667 0.7500
Pb1 Pb 0.0000 0.0000 0.0000
O1 O 0.0116 0.3649 0.6397
```

Results
The calculation puts the total DFT energy (no corrections) at -7.43 eV per atom. For the uncorrected formation energy, the calculation gives -2.100 eV/atom.


(4)
DFT (GGA-PBE) results for a relaxed structure of Mg2NpPbO8.

CIF file:
```
data_Mg2NpPbO8
_chemical_formula_sum 'Mg2 Np1 Pb1 O8'
_cell_length_a 4.795
_cell_length_b 6.751
_cell_length_c 4.796
_cell_angle_alpha 90.00
_cell_angle_beta 92.44
_cell_angle_gamma 90.00
_space_group_name_H-M_alt 'P 1 2/m 1'
_space_group_IT_number 10
loop_
_space_group_symop_operation_xyz
'x,y,z'
'-x,-y,-z'
'-x,y,-z'
'x,-y,z'
loop_
_atom_site_label
_atom_site_type_symbol
_atom_site_fract_x
_atom_site_fract_y
_atom_site_fract_z
Mg1 Mg 0.000 0.248 0.000
Np1 Np 0.500 0.500 0.500
Pb1 Pb 0.500 0.000 0.500
O1 O 0.190 0.000 0.189
O2 O 0.206 0.500 0.204
O3 O 0.300 0.275 0.699
```

Results
The calculation puts the total DFT energy (no corrections) at -6.89 eV per atom. For the uncorrected formation energy, the calculation gives -1.933 eV/atom.


(5)
DFT (GGA-PBE) results for a relaxed structure of Mg2NpPdO8.

CIF file:
```
data_Mg2NpPdO8
_chemical_formula_sum 'Mg2 Np1 Pd1 O8'
_cell_length_a 4.785
_cell_length_b 6.308
_cell_length_c 4.791
_cell_angle_alpha 90.00
_cell_angle_beta 92.96
_cell_angle_gamma 90.00
_space_group_name_H-M_alt 'P 1 2/m 1'
_space_group_IT_number 10
loop_
_space_group_symop_operation_xyz
'x,y,z'
'-x,-y,-z'
'-x,y,-z'
'x,-y,z'
loop_
_atom_site_label
_atom_site_type_symbol
_atom_site_fract_x
_atom_site_fract_y
_atom_site_fract_z
Mg1 Mg 0.000 0.241 0.000
Np1 Np 0.500 0.500 0.500
Pd1 Pd 0.500 0.000 0.500
O1 O 0.204 0.500 0.203
O2 O 0.205 0.000 0.203
O3 O 0.308 0.249 0.690
```

Results
The calculation puts the total DFT energy (no corrections) at -6.92 eV per atom. For the uncorrected formation energy, the calculation gives -1.840 eV/atom.


(6)
DFT (GGA-PBE) results for a relaxed structure of Pm2MgNpO6.

CIF file:
```
data_Pm2MgNpO6
_chemical_formula_sum 'Pm4 Mg2 Np2 O12'
_cell_length_a 5.652
_cell_length_b 5.881
_cell_length_c 9.992
_cell_angle_alpha 90.00
_cell_angle_beta 122.71
_cell_angle_gamma 90.00
_space_group_name_H-M_alt 'P 1 21/c 1'
_space_group_IT_number 14
loop_
_space_group_symop_operation_xyz
'x,y,z'
'-x,-y,-z'
'-x,y+1/2,-z+1/2'
'x,-y+1/2,z+1/2'
loop_
_atom_site_label
_atom_site_type_symbol
_atom_site_fract_x
_atom_site_fract_y
_atom_site_fract_z
Pm1 Pm 0.222 0.057 0.246
Mg1 Mg 0.000 0.000 0.500
Np1 Np 0.500 0.000 0.000
O1 O 0.125 0.204 0.932
O2 O 0.219 0.698 0.927
O3 O 0.380 0.058 0.747
```

Results
The calculation puts the total DFT energy (no corrections) at -8.45 eV per atom. For the uncorrected formation energy, the calculation gives -3.075 eV/atom.


(7)
DFT (GGA-PBE) results for a relaxed structure of Pm2MgNpO8.

CIF file:
```
data_Pm2MgNpO8
_chemical_formula_sum 'Pm2 Mg1 Np1 O8'
_cell_length_a 4.029
_cell_length_b 5.284
_cell_length_c 7.577
_cell_angle_alpha 86.54
_cell_angle_beta 89.36
_cell_angle_gamma 84.23
_space_group_name_H-M_alt 'P -1'
_space_group_IT_number 2
loop_
_space_group_symop_operation_xyz
'x,y,z'
'-x,-y,-z'
loop_
_atom_site_label
_atom_site_type_symbol
_atom_site_fract_x
_atom_site_fract_y
_atom_site_fract_z
Pm1 Pm 0.008 0.024 0.246
Mg1 Mg 0.500 0.500 0.000
Np1 Np 0.500 0.500 0.500
O1 O 0.054 0.726 0.508
O2 O 0.057 0.724 0.020
O3 O 0.455 0.235 0.696
O4 O 0.466 0.295 0.263
```

Results
The calculation puts the total DFT energy (no corrections) at -8.02 eV per atom. For the uncorrected formation energy, the calculation gives -2.709 eV/atom.


(8)
DFT (GGA-PBE) results for a relaxed structure of PmMg2NpO8.

CIF file:
```
data_PmMg2NpO8
_chemical_formula_sum 'Pm1 Mg2 Np1 O8'
_cell_length_a 4.690
_cell_length_b 7.095
_cell_length_c 4.715
_cell_angle_alpha 90.00
_cell_angle_beta 90.95
_cell_angle_gamma 90.00
_space_group_name_H-M_alt 'P 1 2/m 1'
_space_group_IT_number 10
loop_
_space_group_symop_operation_xyz
'x,y,z'
'-x,-y,-z'
'-x,y,-z'
'x,-y,z'
loop_
_atom_site_label
_atom_site_type_symbol
_atom_site_fract_x
_atom_site_fract_y
_atom_site_fract_z
Pm1 Pm 0.000 0.000 0.000
Mg1 Mg 0.500 0.280 0.500
Np1 Np 0.000 0.500 0.000
O1 O 0.209 0.275 0.824
O2 O 0.281 0.500 0.314
O3 O 0.358 0.000 0.416
```

Results
The calculation puts the total DFT energy (no corrections) at -7.50 eV per atom. For the uncorrected formation energy, the calculation gives -2.459 eV/atom.